No. 1
An optimized crystal structure of SmSn2Pb. Source: Alexandria via LeMat-Bulk, functional PBE-GGA.

```
data_SmSn2Pb
_chemical_formula_sum 'Sm2 Sn4 Pb2'
_cell_length_a 6.9164
_cell_length_b 8.8901
_cell_length_c 3.7119
_cell_angle_alpha 90.00
_cell_angle_beta 90.00
_cell_angle_gamma 90.00
_symmetry_space_group_name_H-M 'C m m m'
_symmetry_Int_Tables_number 65
_symmetry_space_group_name_Hall '-C 2 2'
loop_
_atom_site_label
_atom_site_type_symbol
_atom_site_fract_x
_atom_site_fract_y
_atom_site_fract_z
Sm1 Sm 0.0000 0.0000 0.0000
Sn1 Sn 0.2500 0.2500 0.5000
Pb1 Pb 0.0000 0.5000 0.0000
```

Results
ΔH_f (0 K): -1.36 eV/f.u.


No. 2
An optimized crystal structure of Sm2Sn4Pb. Source: Alexandria via LeMat-Bulk, functional PBE-GGA.

```
data_Sm2Sn4Pb
_chemical_formula_sum 'Sm4 Sn8 Pb2'
_cell_length_a 9.3241
_cell_length_b 9.3648
_cell_length_c 6.6389
_cell_angle_alpha 90.00
_cell_angle_beta 134.22
_cell_angle_gamma 90.00
_symmetry_space_group_name_H-M 'C 1 2/m 1'
_symmetry_Int_Tables_number 12
_symmetry_space_group_name_Hall '-C 2y'
loop_
_atom_site_label
_atom_site_type_symbol
_atom_site_fract_x
_atom_site_fract_y
_atom_site_fract_z
Sm1 Sm 0.2500 0.2500 0.0000
Sn1 Sn 0.0000 0.0000 0.5000
Sn2 Sn 0.0000 0.5000 0.5000
Sn3 Sn 0.2500 0.2500 0.5000
Pb1 Pb 0.0000 0.0000 0.0000
```

Results
ΔH_f (0 K): -2.81 eV/f.u.


No. 3
An optimized crystal structure of TbSmSnPb. Source: Alexandria via LeMat-Bulk, functional PBE-GGA.

```
data_TbSmSnPb
_chemical_formula_sum 'Tb4 Sm4 Sn4 Pb4'
_cell_length_a 7.7202
_cell_length_b 7.7202
_cell_length_c 7.7202
_cell_angle_alpha 90.00
_cell_angle_beta 90.00
_cell_angle_gamma 90.00
_symmetry_space_group_name_H-M 'F -4 3 m'
_symmetry_Int_Tables_number 216
_symmetry_space_group_name_Hall 'F -4 2 3'
loop_
_atom_site_label
_atom_site_type_symbol
_atom_site_fract_x
_atom_site_fract_y
_atom_site_fract_z
Tb1 Tb 0.0000 0.0000 0.0000
Sm1 Sm 0.0000 0.0000 0.5000
Sn1 Sn 0.2500 0.2500 0.2500
Pb1 Pb 0.2500 0.2500 0.7500
```

Results
ΔH_f (0 K): -1.94 eV/f.u.


No. 4
An optimized crystal structure of Sm6SnTe3Pb2. Source: Alexandria via LeMat-Bulk, functional PBE-GGA.

```
data_Sm6SnTe3Pb2
_chemical_formula_sum 'Sm12 Sn2 Te6 Pb4'
_cell_length_a 19.5971
_cell_length_b 4.4952
_cell_length_c 8.9843
_cell_angle_alpha 90.00
_cell_angle_beta 103.65
_cell_angle_gamma 90.00
_symmetry_space_group_name_H-M 'C 1 2/m 1'
_symmetry_Int_Tables_number 12
_symmetry_space_group_name_Hall '-C 2y'
loop_
_atom_site_label
_atom_site_type_symbol
_atom_site_fract_x
_atom_site_fract_y
_atom_site_fract_z
Sm1 Sm 0.0011 0.0000 0.2427
Sm2 Sm 0.1639 0.5000 0.0859
Sm3 Sm 0.1678 0.5000 0.5793
Sn1 Sn 0.0000 0.5000 0.0000
Te1 Te 0.0000 0.5000 0.5000
Te2 Te 0.1670 0.0000 0.8333
Pb1 Pb 0.1666 0.0000 0.3330
```

Results
VASP energy: -123.15 eV per cell


No. 5
An optimized crystal structure of Sm6Sn2Te3Pb. Source: Alexandria via LeMat-Bulk, functional PBE-GGA.

```
data_Sm6Sn2Te3Pb
_chemical_formula_sum 'Sm12 Sn4 Te6 Pb2'
_cell_length_a 19.5737
_cell_length_b 4.4859
_cell_length_c 8.9749
_cell_angle_alpha 90.00
_cell_angle_beta 103.77
_cell_angle_gamma 90.00
_symmetry_space_group_name_H-M 'C 1 2/m 1'
_symmetry_Int_Tables_number 12
_symmetry_space_group_name_Hall '-C 2y'
loop_
_atom_site_label
_atom_site_type_symbol
_atom_site_fract_x
_atom_site_fract_y
_atom_site_fract_z
Sm1 Sm 0.0025 0.0000 0.2474
Sm2 Sm 0.1658 0.5000 0.0902
Sm3 Sm 0.1691 0.5000 0.5771
Sn1 Sn 0.1667 0.0000 0.3331
Te1 Te 0.0000 0.5000 0.5000
Te2 Te 0.1663 0.0000 0.8329
Pb1 Pb 0.0000 0.5000 0.0000
```

Results
VASP energy: -124.55 eV per cell


No. 6
An optimized crystal structure of SmTlSnPb. Source: Alexandria via LeMat-Bulk, functional PBE-GGA.

```
data_SmTlSnPb
_chemical_formula_sum 'Sm1 Tl1 Sn1 Pb1'
_cell_length_a 4.7478
_cell_length_b 4.8048
_cell_length_c 4.9164
_cell_angle_alpha 90.00
_cell_angle_beta 90.00
_cell_angle_gamma 90.00
_symmetry_space_group_name_H-M 'P m m m'
_symmetry_Int_Tables_number 47
_symmetry_space_group_name_Hall '-P 2 2'
loop_
_atom_site_label
_atom_site_type_symbol
_atom_site_fract_x
_atom_site_fract_y
_atom_site_fract_z
Sm1 Sm 0.0000 0.0000 0.0000
Tl1 Tl 0.5000 0.5000 0.0000
Sn1 Sn 0.5000 0.0000 0.5000
Pb1 Pb 0.0000 0.5000 0.5000
```

Results
ΔH_f (0 K): -1.52 eV/f.u.


No. 7
An optimized crystal structure of SrSm4Pb4. Source: Alexandria via LeMat-Bulk, functional PBE-GGA.

```
data_SrSm4Pb4
_chemical_formula_sum 'Sr2 Sm8 Pb8'
_cell_length_a 10.4387
_cell_length_b 10.4387
_cell_length_c 6.3463
_cell_angle_alpha 90.00
_cell_angle_beta 90.00
_cell_angle_gamma 90.00
_symmetry_space_group_name_H-M 'P 42/n'
_symmetry_Int_Tables_number 86
loop_
_symmetry_equiv_pos_as_xyz
'x,y,z'
'-x,-y,-z'
'-y,x+1/2,z+1/2'
'y,-x+1/2,-z+1/2'
'-x+1/2,-y+1/2,z'
'x+1/2,y+1/2,-z'
'y+1/2,-x,z+1/2'
'-y+1/2,x,-z+1/2'
loop_
_atom_site_label
_atom_site_type_symbol
_atom_site_fract_x
_atom_site_fract_y
_atom_site_fract_z
Sr1 Sr 0.2500 0.2500 0.2500
Sm1 Sm 0.1103 0.6359 0.1480
Pb1 Pb 0.0569 0.5944 0.6651
```

Results
ΔH_f (0 K): -3.10 eV/f.u.


No. 8
An optimized crystal structure of SrSmPb4. Source: Alexandria via LeMat-Bulk, functional PBE-GGA.

```
data_SrSmPb4
_chemical_formula_sum 'Sr4 Sm4 Pb16'
_cell_length_a 9.2522
_cell_length_b 9.2522
_cell_length_c 9.2522
_cell_angle_alpha 90.00
_cell_angle_beta 90.00
_cell_angle_gamma 90.00
_symmetry_space_group_name_H-M 'F -4 3 m'
_symmetry_Int_Tables_number 216
_symmetry_space_group_name_Hall 'F -4 2 3'
loop_
_atom_site_label
_atom_site_type_symbol
_atom_site_fract_x
_atom_site_fract_y
_atom_site_fract_z
Sr1 Sr 0.0000 0.0000 0.0000
Sm1 Sm 0.2500 0.2500 0.7500
Pb1 Pb 0.1244 0.1244 0.3756
```

Results
ΔH_f (0 K): -1.46 eV/f.u.
Excess energy over the best structure of this formula in the dataset: 0.1313 eV/atom


No. 9
An optimized crystal structure of Sr4SmPb5. Source: Alexandria via LeMat-Bulk, functional PBE-GGA.

```
data_Sr4SmPb5
_chemical_formula_sum 'Sr4 Sm1 Pb5'
_cell_length_a 4.0852
_cell_length_b 4.0852
_cell_length_c 20.6555
_cell_angle_alpha 90.00
_cell_angle_beta 90.00
_cell_angle_gamma 90.00
_symmetry_space_group_name_H-M 'P 4/m m m'
_symmetry_Int_Tables_number 123
_symmetry_space_group_name_Hall '-P 4 2'
loop_
_atom_site_label
_atom_site_type_symbol
_atom_site_fract_x
_atom_site_fract_y
_atom_site_fract_z
Sr1 Sr 0.0000 0.0000 0.1047
Sr2 Sr 0.0000 0.0000 0.3120
Sm1 Sm 0.0000 0.0000 0.5000
Pb1 Pb 0.5000 0.5000 0.0000
Pb2 Pb 0.5000 0.5000 0.2109
Pb3 Pb 0.5000 0.5000 0.4178
```

Results
ΔH_f (0 K): -5.01 eV/f.u.


No. 10
An optimized crystal structure of SrSm2Pb9. Source: Alexandria via LeMat-Bulk, functional PBE-GGA.

```
data_SrSm2Pb9
_chemical_formula_sum 'Sr1 Sm2 Pb9'
_cell_length_a 4.9689
_cell_length_b 4.9689
_cell_length_c 14.7255
_cell_angle_alpha 90.00
_cell_angle_beta 90.00
_cell_angle_gamma 90.00
_symmetry_space_group_name_H-M 'P 4/m m m'
_symmetry_Int_Tables_number 123
_symmetry_space_group_name_Hall '-P 4 2'
loop_
_atom_site_label
_atom_site_type_symbol
_atom_site_fract_x
_atom_site_fract_y
_atom_site_fract_z
Sr1 Sr 0.0000 0.0000 0.0000
Sm1 Sm 0.0000 0.0000 0.3388
Pb1 Pb 0.0000 0.5000 0.1715
Pb2 Pb 0.0000 0.5000 0.5000
Pb3 Pb 0.5000 0.5000 0.0000
Pb4 Pb 0.5000 0.5000 0.3352
```

Results
ΔH_f (0 K): -4.21 eV/f.u.


No. 11
An optimized crystal structure of SrSmPb4. Source: Alexandria via LeMat-Bulk, functional PBE-GGA.

```
data_SrSmPb4
_chemical_formula_sum 'Sr4 Sm4 Pb16'
_cell_length_a 4.7886
_cell_length_b 24.0712
_cell_length_c 6.8752
_cell_angle_alpha 90.00
_cell_angle_beta 90.00
_cell_angle_gamma 90.00
_symmetry_space_group_name_H-M 'C m c m'
_symmetry_Int_Tables_number 63
_symmetry_space_group_name_Hall '-C 2c 2'
loop_
_atom_site_label
_atom_site_type_symbol
_atom_site_fract_x
_atom_site_fract_y
_atom_site_fract_z
Sr1 Sr 0.0000 0.2239 0.2500
Sm1 Sm 0.0000 0.0675 0.7500
Pb1 Pb 0.0000 0.0785 0.2500
Pb2 Pb 0.0000 0.3530 0.0162
Pb3 Pb 0.0000 0.5000 0.0000
```

Results
ΔH_f (0 K): -2.25 eV/f.u.
Excess energy over the best structure of this formula in the dataset: 0.0000 eV/atom


No. 12
An optimized crystal structure of SrSmPb. Source: Alexandria via LeMat-Bulk, functional PBE-GGA.

```
data_SrSmPb
_chemical_formula_sum 'Sr2 Sm2 Pb2'
_cell_length_a 4.9899
_cell_length_b 4.9899
_cell_length_c 8.8019
_cell_angle_alpha 90.00
_cell_angle_beta 90.00
_cell_angle_gamma 90.00
_symmetry_space_group_name_H-M 'P 4/n m m'
_symmetry_Int_Tables_number 129
loop_
_symmetry_equiv_pos_as_xyz
'x,y,z'
'-x,-y,-z'
'-y+1/2,x,z'
'y+1/2,-x,-z'
'-x+1/2,-y+1/2,z'
'x+1/2,y+1/2,-z'
'y,-x+1/2,z'
'-y,x+1/2,-z'
'x+1/2,-y,-z'
'-x+1/2,y,z'
'-y,-x,-z'
'y,x,z'
'-x,y+1/2,-z'
'x,-y+1/2,z'
'y+1/2,x+1/2,-z'
'-y+1/2,-x+1/2,z'
loop_
_atom_site_label
_atom_site_type_symbol
_atom_site_fract_x
_atom_site_fract_y
_atom_site_fract_z
Sr1 Sr 0.2500 0.2500 0.1445
Sm1 Sm 0.2500 0.7500 0.5000
Pb1 Pb 0.2500 0.2500 0.7495
```

Results
ΔH_f (0 K): -1.34 eV/f.u.